Density functional theory data (PBE-GGA) for a relaxed structure of Cd5C3.

Properties
Calculated density   7.53 g/cm3
Fermi-level density of states   0.572 states/eV/atom
SG   I4cm, No. 108
Raw total energy   -20.334 eV/f.u.
Offset from the most stable computed form   0.45 eV/f.u.

abc: 9.1286 7.1890 7.1887
angles: 78.82 50.58 50.58
Closest atoms and distances in Å follow each position.
Sites, in units of the cell vectors:
Cd 0.2034 0.0813 0.9204  4 C 2.49-2.56, 1 Cd 2.77
Cd 0.2510 0.2486 0.2490  4 C 2.50
Cd 0.9184 0.2049 0.7965  4 C 2.49-2.56, 1 Cd 2.77
Cd 0.2945 0.5813 0.4204  4 C 2.49-2.56, 1 Cd 2.77
Cd 0.5796 0.7051 0.2966  4 C 2.49-2.56, 1 Cd 2.77
Cd 0.7510 0.7486 0.7490  4 C 2.50
Cd 0.0796 0.7962 0.2055  4 C 2.49-2.56, 1 Cd 2.77
Cd 0.4181 0.2964 0.7057  4 C 2.49-2.56, 1 Cd 2.77
Cd 0.7943 0.9202 0.0819  4 C 2.49-2.56, 1 Cd 2.77
Cd 0.7035 0.4198 0.5816  4 C 2.49-2.56, 1 Cd 2.77
C 0.7496 0.2500 0.2504  8 Cd 2.55-2.56
C 0.8519 0.6477 0.3482  6 Cd 2.49-2.51
C 0.1517 0.3478 0.6481  6 Cd 2.49-2.51
C 0.2496 0.7500 0.7504  8 Cd 2.55-2.56
C 0.3519 0.8479 0.1481  6 Cd 2.49-2.51
C 0.6518 0.1477 0.8482  6 Cd 2.49-2.51